No. 1
DFT (PBE) results for CsK2BaPd after structural relaxation.

Cell: 6.8707 6.8707 6.1308 Å, 90.00 90.00 90.00°
Closest atoms and distances in Å follow each position.
Element x y z (fractional)
Pd: 0.0000 0.0000 0.0000  2 Ba 3.07
Cs: 0.5000 0.5000 0.5000  8 K 4.60, 4 Ba 4.86
Ba: 0.0000 0.0000 0.5000  2 Pd 3.07
K: 0.5000 0.0000 0.0000  2 Pd 3.44
K: 0.0000 0.5000 0.0000  2 Pd 3.44



No. 2
DFT (PBE) results for V12As5C2 after structural relaxation.

Cell: 6.1587 7.3670 7.0108 Å, 105.09 90.00 114.71°
Closest atoms and distances in Å follow each position.
Element x y z (fractional)
V: 0.0037 0.0073 0.1703  2 C 2.05
V: 0.6136 0.6962 0.9151  1 C 1.96
V: 0.9174 0.3038 0.0849  1 C 1.96
V: 0.8730 0.2682 0.5495  4 As 2.36-2.50
V: 0.1270 0.7318 0.4505  4 As 2.36-2.50
V: 0.5090 0.0180 0.2103  2 C 2.02
V: 0.0826 0.6962 0.9151  1 C 1.96
V: 0.9963 0.9927 0.8297  2 C 2.05
V: 0.6049 0.7318 0.4505  4 As 2.36-2.50
V: 0.3951 0.2682 0.5495  4 As 2.36-2.50
V: 0.3864 0.3038 0.0849  1 C 1.96
V: 0.4910 0.9820 0.7897  2 C 2.02
As: 0.2830 0.5660 0.6426  7 V 2.46-2.68
As: 0.7170 0.4340 0.3574  7 V 2.46-2.68
As: 0.0000 0.0000 0.5000  6 V 2.33-2.36
As: 0.3081 0.6163 0.1557  7 V 2.47-2.60
As: 0.6919 0.3837 0.8443  7 V 2.47-2.60
C: 0.7285 0.0000 0.0000  6 V 1.96-2.05
C: 0.2715 0.0000 0.0000  6 V 1.96-2.05



Number 1: ΔE_f 0.001 eV/atom, magnetization 0.0975 μB per atom. Number 2: ΔE_f -0.247 eV/atom, magnetization 0.0001 μB per atom.